No. 1
Here is ZrTlCr2Se after structural relaxation from Alexandria. Energies are from GGA-PBE.

Properties
Mass density in g/cm³: 6.89
E_tot in eV/atom: -5.96
Symmetry: P4/mmm
Uncorrected formation energy in eV per formula unit: 3.86

Cell: 4.5390 4.5390 5.5954 Å, 90.00 90.00 90.00°
Last column: nearest neighbours and their distance in Å.
Fractional positions:
Zr: 0.5000 0.5000 0.5000  4 Tl 3.21
Cr: 0.5000 0.0000 0.0000  2 Se 2.27
Cr: 0.0000 0.5000 0.0000  2 Se 2.27
Se: 0.0000 0.0000 0.0000  4 Cr 2.27
Tl: 0.0000 0.0000 0.5000  2 Se 2.80


No. 2
Here is Tm4CrSe7 after structural relaxation from Alexandria. Energies are from GGA-PBE.

Properties
Mass density in g/cm³: 7.34
E_tot in eV/atom: -5.87
Symmetry: Cm
Uncorrected formation energy in eV per formula unit: -18.55

Cell: 6.7538 6.7538 11.8991 Å, 74.54 74.54 33.77°
Last column: nearest neighbours and their distance in Å.
Fractional positions:
Tm: 0.9901 0.9901 0.0046  6 Se 2.79-2.82
Tm: 0.2976 0.2976 0.8115  7 Se 2.83-3.04
Tm: 0.6852 0.6852 0.2231  7 Se 2.82-3.13
Tm: 0.1208 0.1208 0.5656  6 Se 2.75-2.87
Se: 0.3273 0.3273 0.0560  5 Tm 2.82-3.04
Se: 0.5174 0.5174 0.4698  2 Cr 2.71, 2 Tm 2.79
Se: 0.2781 0.2781 0.3552  2 Cr 2.70, 3 Tm 2.75-2.97
Se: 0.7525 0.7525 0.6366  1 Cr 2.66, 2 Tm 2.87
Se: 0.9605 0.9605 0.7814  4 Tm 2.79-2.83
Se: 0.0286 0.0286 0.2238  1 Cr 2.55, 3 Tm 2.79-2.82
Se: 0.6513 0.6513 0.9485  4 Tm 2.80-2.89
Cr: 0.8907 0.8907 0.4240  6 Se 2.55-2.71


No. 3
Here is U6CrSe12 after structural relaxation from Alexandria. Energies are from GGA-PBE.

Properties
Mass density in g/cm³: 7.96
E_tot in eV/atom: -7.30
Symmetry: R-3
Uncorrected formation energy in eV per formula unit: -19.62

Cell: 8.1227 8.1227 8.1227 Å, 100.24 100.24 100.24°
Last column: nearest neighbours and their distance in Å.
Fractional positions:
U: 0.1309 0.6312 0.2971  7 Se 2.84-3.03
U: 0.8691 0.3688 0.7029  7 Se 2.84-3.03
U: 0.2971 0.1309 0.6312  7 Se 2.84-3.03
U: 0.3688 0.7029 0.8691  7 Se 2.84-3.03
U: 0.7029 0.8691 0.3688  7 Se 2.84-3.03
U: 0.6312 0.2971 0.1309  7 Se 2.84-3.03
Se: 0.1759 0.4269 0.5708  4 U 2.84-3.01
Se: 0.4269 0.5708 0.1759  4 U 2.84-3.01
Se: 0.4292 0.8241 0.5731  4 U 2.84-3.01
Se: 0.0623 0.9667 0.3117  1 Cr 2.56, 1 U 2.86
Se: 0.9667 0.3117 0.0623  1 Cr 2.56, 1 U 2.86
Se: 0.5708 0.1759 0.4269  4 U 2.84-3.01
Se: 0.0333 0.6883 0.9377  1 Cr 2.56, 1 U 2.86
Se: 0.5731 0.4292 0.8241  4 U 2.84-3.01
Se: 0.6883 0.9377 0.0333  1 Cr 2.56, 1 U 2.86
Se: 0.9377 0.0333 0.6883  1 Cr 2.56, 1 U 2.86
Se: 0.8241 0.5731 0.4292  4 U 2.84-3.01
Se: 0.3117 0.0623 0.9667  1 Cr 2.56, 1 U 2.86
Cr: 0.0000 0.0000 0.0000  6 Se 2.56